# Li2FeCu (GGA-PBE, optimized geometry)
data_Li2FeCu
_cell_length_a 2.509
_cell_length_b 4.539
_cell_length_c 5.378
_cell_angle_alpha 56.03
_cell_angle_beta 90.00
_cell_angle_gamma 90.00
_symmetry_space_group_name_H-M 'P 1'
_symmetry_Int_Tables_number 1
_symmetry_space_group_name_Hall 'P 1'
loop_
_atom_site_label
_atom_site_type_symbol
_atom_site_fract_x
_atom_site_fract_y
_atom_site_fract_z
_atom_site_occupancy
Cu1 Cu 0.500 0.500 0.500 1
Fe1 Fe 0.000 0.000 0.500 1
Li1 Li 0.000 0.000 0.000 1
Li2 Li 0.500 0.500 0.000 1
# calculated formation energy = 0.18 eV/atom